Record 1
## Tb4ErTh (PBE)

Data for a relaxed Tb4ErTh crystal.

POSCAR file:
```
Tb4ErTh
1.0
5.886 -1.778 0.000
5.886 1.778 0.000
-4.305 0.000 9.115
Tb Er Th
4 1 1
Cartesian
0.521 0.000 3.011 Tb
-1.651 0.000 7.619 Tb
9.119 0.000 1.496 Tb
6.946 0.000 6.104 Tb
3.734 0.000 4.558 Er
5.886 0.000 0.000 Th
```

Results
Formation energy from the elements in eV/f.u.: 0.16
Excess energy over the best structure of this formula in the dataset in eV per formula unit: 0.00

Record 2
## ZnPd2Br2 (PBE)

Data for a relaxed ZnPd2Br2 crystal.

POSCAR file:
```
ZnPd2Br2
1.0
7.124 0.000 0.000
0.000 7.124 0.000
0.000 0.000 4.611
Zn Pd Br
2 4 4
Cartesian
0.000 0.000 0.000 Zn
3.562 3.562 0.000 Zn
1.596 1.966 0.000 Pd
1.966 5.528 0.000 Pd
5.158 1.596 0.000 Pd
5.528 5.158 0.000 Pd
1.315 4.877 2.305 Br
2.247 1.315 2.305 Br
4.877 5.809 2.305 Br
5.809 2.247 2.305 Br
```

Results
Excess energy over the best structure of this formula in the dataset in eV per formula unit: 0.00

Record 3
## Hf3GePd (PBE)

Data for a relaxed Hf3GePd crystal.

POSCAR file:
```
Hf3GePd
1.0
4.981 0.000 0.000
0.000 4.981 0.000
0.000 0.000 4.981
Hf Ge Pd
3 1 1
Cartesian
0.000 0.000 2.490 Hf
0.000 2.490 0.000 Hf
2.490 0.000 0.000 Hf
2.490 2.490 2.490 Ge
0.000 0.000 0.000 Pd
```

Results
Formation energy from the elements in eV/f.u.: 2.01
Excess energy over the best structure of this formula in the dataset in eV per formula unit: 3.45

Record 4
## Pb4S2Br5 (PBE)

Data for a relaxed Pb4S2Br5 crystal.

POSCAR file:
```
Pb4S2Br5
1.0
9.205 -2.208 0.000
9.205 2.208 0.000
-2.745 0.000 10.518
Pb S Br
4 2 5
Cartesian
-0.713 0.000 2.941 Pb
3.910 0.000 9.737 Pb
11.755 0.000 0.781 Pb
16.377 0.000 7.576 Pb
8.852 0.000 1.249 S
6.812 0.000 9.268 S
2.332 0.000 2.934 Br
0.726 0.000 9.219 Br
7.832 0.000 5.259 Br
14.939 0.000 1.298 Br
13.332 0.000 7.583 Br
```

Record 5
## K2In4Sn3Ge (PBE)

Data for a relaxed K2In4Sn3Ge crystal.

POSCAR file:
```
K2In4Sn3Ge
1.0
5.139 0.000 0.000
0.000 5.139 0.000
0.000 0.000 11.862
K In Sn Ge
2 4 3 1
Cartesian
0.000 2.570 2.887 K
2.570 0.000 8.975 K
0.000 0.000 5.931 In
0.000 2.570 10.411 In
2.570 0.000 1.451 In
2.570 2.570 5.931 In
0.000 0.000 0.000 Sn
0.000 2.570 7.512 Sn
2.570 0.000 4.351 Sn
2.570 2.570 0.000 Ge
```

Results
Formation energy from the elements in eV/f.u.: -1.28

Record 6
## Ga2MoAsIr (PBE)

Data for a relaxed Ga2MoAsIr crystal.

POSCAR file:
```
Ga2MoAsIr
1.0
4.716 0.000 0.000
0.000 4.716 0.000
0.000 0.000 4.935
Ga Mo As Ir
2 1 1 1
Cartesian
0.000 2.358 0.000 Ga
2.358 0.000 0.000 Ga
0.000 0.000 2.467 Mo
2.358 2.358 2.467 As
0.000 0.000 0.000 Ir
```

Results
Formation energy from the elements in eV/f.u.: 2.81

Record 7
## KSm2DyTe4 (PBE)

Data for a relaxed KSm2DyTe4 crystal.

POSCAR file:
```
KSm2DyTe4
1.0
7.846 0.000 0.000
0.000 4.438 0.000
-2.485 0.000 7.456
K Sm Dy Te
1 2 1 4
Cartesian
0.000 0.000 0.000 K
2.681 0.000 3.728 Sm
3.923 2.219 0.000 Sm
-1.243 2.219 3.728 Dy
0.114 0.000 5.521 Te
1.377 2.219 1.974 Te
3.984 2.219 5.482 Te
5.247 0.000 1.935 Te
```

Record 8
## RbV2Te4 (PBE)

Data for a relaxed RbV2Te4 crystal.

POSCAR file:
```
RbV2Te4
1.0
9.243 -1.938 0.000
9.243 1.938 0.000
-1.611 0.000 6.359
Rb V Te
1 2 4
Cartesian
0.000 0.000 0.000 Rb
4.197 0.000 1.842 V
12.679 0.000 4.517 V
1.938 0.000 3.287 Te
4.533 0.000 6.200 Te
12.343 0.000 0.159 Te
14.938 0.000 3.072 Te
```

Record 9
## YAsRu2 (PBE)

Data for a relaxed YAsRu2 crystal.

POSCAR file:
```
YAsRu2
1.0
2.953 -4.428 0.000
2.953 4.428 0.000
-1.524 0.000 2.638
Y As Ru
1 1 2
Cartesian
0.000 0.000 0.000 Y
2.953 0.000 0.000 As
0.714 2.214 1.319 Ru
0.714 -2.214 1.319 Ru
```

Results
Formation energy from the elements in eV/f.u.: -0.03

Record 10
## CeNdCo4 (PBE)

Data for a relaxed CeNdCo4 crystal.

POSCAR file:
```
CeNdCo4
1.0
0.000 3.577 3.577
3.577 0.000 3.577
3.577 3.577 0.000
Ce Nd Co
1 1 4
Cartesian
0.000 0.000 0.000 Ce
1.789 1.789 1.789 Nd
4.474 2.680 2.680 Co
2.680 4.474 2.680 Co
2.680 2.680 4.474 Co
4.474 4.474 4.474 Co
```

Results
Formation energy from the elements in eV/f.u.: -0.69

Record 11
## CaTcS2 (PBE)

Data for a relaxed CaTcS2 crystal.

POSCAR file:
```
CaTcS2
1.0
1.812 1.046 8.033
-1.812 1.046 8.033
0.000 -2.092 8.033
Ca Tc S
1 1 2
Cartesian
0.000 0.000 0.000 Ca
0.000 0.000 12.050 Tc
0.000 0.000 2.718 S
0.000 0.000 21.382 S
```

Results
Excess energy over the best structure of this formula in the dataset in eV per formula unit: 1.50

Record 12
## K3TbB2O6 (PBE)

Data for a relaxed K3TbB2O6 crystal.

POSCAR file:
```
K3TbB2O6
1.0
6.923 0.000 0.000
0.000 9.465 0.000
0.000 0.000 5.592
K Tb B O
6 2 4 12
Cartesian
0.000 0.000 0.000 K
1.586 3.147 0.000 K
1.876 7.879 2.796 K
3.462 4.732 2.796 K
5.048 1.586 2.796 K
5.337 6.318 0.000 K
0.000 4.732 2.796 Tb
3.462 0.000 0.000 Tb
1.637 6.306 0.000 B
1.825 1.573 2.796 B
5.099 7.891 2.796 B
5.286 3.159 0.000 B
1.335 2.880 2.796 O
1.385 5.652 1.207 O
1.385 5.652 4.385 O
2.077 0.920 1.589 O
2.077 0.920 4.003 O
2.126 7.612 0.000 O
4.797 1.852 0.000 O
4.846 8.545 1.589 O
4.846 8.545 4.003 O
5.539 3.812 1.207 O
5.539 3.812 4.385 O
5.588 6.584 2.796 O
```

Results
Excess energy over the best structure of this formula in the dataset in eV per formula unit: 0.00

Record 13
## Pm3Dy3MgS8 (PBE)

Data for a relaxed Pm3Dy3MgS8 crystal.

POSCAR file:
```
Pm3Dy3MgS8
1.0
3.928 2.268 6.504
-3.928 2.268 6.504
0.000 -4.535 6.504
Pm Dy Mg S
3 3 1 8
Cartesian
-1.964 -1.134 6.504 Pm
-1.964 1.134 13.009 Pm
0.000 2.268 6.504 Pm
-3.928 0.000 9.756 Dy
-1.964 1.134 3.252 Dy
1.964 1.134 3.252 Dy
0.000 0.000 9.756 Mg
0.000 0.000 4.803 S
-1.906 -1.100 11.264 S
0.000 -2.200 8.249 S
-1.906 1.100 8.249 S
1.906 -1.100 11.264 S
0.000 2.200 11.264 S
1.906 1.100 8.249 S
0.000 0.000 14.710 S
```

Record 14
## PmPrSn (PBE)

Data for a relaxed PmPrSn crystal.

POSCAR file:
```
PmPrSn
1.0
-2.107 2.107 5.024
2.107 -2.107 5.024
2.107 2.107 -5.024
Pm Pr Sn
1 1 1
Cartesian
0.000 0.000 0.000 Pm
0.000 0.000 3.117 Pr
0.000 0.000 6.557 Sn
```

Results
Formation energy from the elements in eV/f.u.: -1.48
Excess energy over the best structure of this formula in the dataset in eV per formula unit: 0.28

Record 15
## PmSi2AgAu5 (PBE)

Data for a relaxed PmSi2AgAu5 crystal.

POSCAR file:
```
PmSi2AgAu5
1.0
4.841 0.000 0.000
0.000 4.841 0.000
0.000 0.000 7.572
Pm Si Ag Au
1 2 1 5
Cartesian
0.000 0.000 0.000 Pm
2.420 2.420 2.596 Si
2.420 2.420 4.976 Si
0.000 0.000 3.786 Ag
0.000 2.420 1.975 Au
0.000 2.420 5.597 Au
2.420 0.000 1.975 Au
2.420 0.000 5.597 Au
2.420 2.420 0.000 Au
```

Record 16
## CsN2Cl (PBE)

Data for a relaxed CsN2Cl crystal.

POSCAR file:
```
CsN2Cl
1.0
-2.395 2.395 7.095
2.395 -2.395 7.095
2.395 2.395 -7.095
Cs N Cl
2 4 2
Cartesian
2.395 1.198 1.774 Cs
0.000 1.198 5.321 Cs
0.000 0.000 0.000 N
1.198 1.198 -3.547 N
1.198 -1.198 3.547 N
0.000 2.395 0.000 N
2.395 -1.198 5.321 Cl
0.000 3.593 1.774 Cl
```

Results
Excess energy over the best structure of this formula in the dataset in eV per formula unit: 10.11

Record 17
## ScTa2Re (PBE)

Data for a relaxed ScTa2Re crystal.

POSCAR file:
```
ScTa2Re
1.0
1.519 0.877 9.301
-1.519 0.877 9.301
0.000 -1.754 9.301
Sc Ta Re
1 2 1
Cartesian
0.000 0.000 0.000 Sc
0.000 0.000 6.743 Ta
0.000 0.000 21.159 Ta
0.000 0.000 13.951 Re
```

Results
Formation energy from the elements in eV/f.u.: 0.76
Excess energy over the best structure of this formula in the dataset in eV per formula unit: 1.14

Record 18
## CsCdP2O (PBE)

Data for a relaxed CsCdP2O crystal.

POSCAR file:
```
CsCdP2O
1.0
5.596 0.000 0.000
0.000 5.596 0.000
0.000 0.000 4.352
Cs Cd P O
1 1 2 1
Cartesian
0.000 0.000 0.000 Cs
2.798 2.798 2.176 Cd
0.000 2.798 0.000 P
2.798 0.000 0.000 P
0.000 0.000 2.176 O
```

Results
Excess energy over the best structure of this formula in the dataset in eV per formula unit: 4.32

Record 19
## As2HRu (PBE)

Data for a relaxed As2HRu crystal.

POSCAR file:
```
As2HRu
1.0
-2.854 2.854 3.481
2.854 -2.854 3.481
2.854 2.854 -3.481
As H Ru
4 2 2
Cartesian
1.427 1.060 -0.870 As
1.794 -1.427 4.351 As
1.427 1.794 2.611 As
1.060 4.280 0.870 As
0.000 0.000 0.000 H
0.000 2.854 1.740 H
2.854 0.000 1.740 Ru
0.000 0.000 3.481 Ru
```

Results
Excess energy over the best structure of this formula in the dataset in eV per formula unit: 0.00

Record 20
## PrEuPtPb (PBE)

Data for a relaxed PrEuPtPb crystal.

POSCAR file:
```
PrEuPtPb
1.0
0.000 3.801 3.801
3.801 0.000 3.801
3.801 3.801 0.000
Pr Eu Pt Pb
1 1 1 1
Cartesian
0.000 0.000 0.000 Pr
3.801 3.801 3.801 Eu
1.901 1.901 1.901 Pt
5.702 5.702 5.702 Pb
```

Results
Formation energy from the elements in eV/f.u.: -2.53

| no. | uncorrected energy (eV/atom) |
| --- | --- |
| 1 | -5.0572 |
| 2 | -3.0237 |
| 3 | -7.5311 |
| 4 | -3.5499 |
| 5 | -3.1052 |
| 6 | -5.5172 |
| 7 | -4.7945 |
| 8 | -5.0466 |
| 9 | -7.4229 |
| 10 | -6.6357 |
| 11 | -5.5657 |
| 12 | -6.7479 |
| 13 | -6.1566 |
| 14 | -5.0054 |
| 15 | -4.1044 |
| 16 | -3.2244 |
| 17 | -10.4311 |
| 18 | -2.1193 |
| 19 | -5.1105 |
| 20 | -6.8322 |